Entry 1:
The following is a GGA+U calculation of crystalline MnSiO2 at its relaxed geometry, from Alexandria.

a = 2.7578 Å, b = 2.7578 Å, c = 22.3022 Å
α = 90.00°, β = 90.00°, γ = 120.00°
Space group R-3m (No. 166, hexagonal axes)
Asymmetric unit:
Mn 0.0000 0.0000 0.0000 x3
Si 0.0000 0.0000 0.5000 x3
O 0.0000 0.0000 0.1263 x6

D(E_F)   1.1 states/eV/f.u.
Size of the total moment   4.8 μB/f.u.
E   -7.073 eV per atom
Crystal system   trigonal

Entry 2:
The following is a GGA+U calculation of crystalline Mn3Si5O12 at its relaxed geometry, from Alexandria.

a = 11.712 Å, b = 11.712 Å, c = 11.712 Å
α = 90.00°, β = 90.00°, γ = 90.00°
Space group Ia-3d (No. 230)
Asymmetric unit:
Mn 0.000 0.250 0.125 x24
Si 0.000 0.000 0.000 x16
Si 0.000 0.250 0.375 x24
O 0.035 0.042 0.647 x96

D(E_F)   2.5 states/eV/f.u.
Size of the total moment   13.8 μB/f.u.
E   -7.545 eV per atom
Crystal system   cubic

Entry 3:
The following is a GGA+U calculation of crystalline MnSiO2 at its relaxed geometry, from Alexandria.

a = 4.694 Å, b = 4.694 Å, c = 8.822 Å
α = 90.00°, β = 90.00°, γ = 90.00°
Space group I-42d (No. 122)
Asymmetric unit:
Mn 0.000 0.000 0.000 x4
Si 0.000 0.000 0.500 x4
O 0.152 0.250 0.625 x8

D(E_F)   1.6 states/eV/f.u.
Size of the total moment   3.9 μB/f.u.
E   -6.773 eV per atom
Crystal system   tetragonal

Entry 4:
The following is a GGA+U calculation of crystalline MnSi2O at its relaxed geometry, from Alexandria.

a = 5.864 Å, b = 5.864 Å, c = 6.880 Å
α = 90.00°, β = 90.00°, γ = 90.00°
Space group I-42d (No. 122)
Asymmetric unit:
Mn 0.000 0.000 0.000 x4
Si 0.167 0.250 0.625 x8
O 0.000 0.000 0.500 x4

D(E_F)   2.1 states/eV/f.u.
Size of the total moment   3.7 μB/f.u.
E   -5.754 eV per atom
Crystal system   tetragonal

Entry 5:
The following is a GGA+U calculation of crystalline MnSiO2 at its relaxed geometry, from Alexandria.

a = 3.0397 Å, b = 3.0397 Å, c = 17.4273 Å
α = 90.00°, β = 90.00°, γ = 120.00°
Space group R-3m (No. 166, hexagonal axes)
Asymmetric unit:
Mn 0.0000 0.0000 0.0000 x3
Si 0.0000 0.0000 0.5000 x3
O 0.0000 0.0000 0.4034 x6

D(E_F)   0.1 states/eV/f.u.
Size of the total moment   5.0 μB/f.u.
E   -7.114 eV per atom
Crystal system   trigonal

Entry 6:
The following is a GGA+U calculation of crystalline Mn4SiO7 at its relaxed geometry, from Alexandria.

a = 8.1484 Å, b = 8.1484 Å, c = 4.9597 Å
α = 90.00°, β = 90.00°, γ = 120.00°
Space group P6_3 (No. 173)
Asymmetric unit:
Mn 0.0000 0.0000 0.0000 x2
Mn 0.1134 0.7040 0.0075 x6
Si 0.3333 0.6667 0.5728 x2
O 0.0523 0.2054 0.2495 x6
O 0.1302 0.5067 0.7116 x6
O 0.3333 0.6667 0.2410 x2

Size of the total moment   18.0 μB/f.u.
E   -7.739 eV per atom
Crystal system   hexagonal

Entry 7:
The following is a GGA+U calculation of crystalline MnSi4O10 at its relaxed geometry, from Alexandria.

a = 7.603 Å, b = 7.603 Å, c = 16.404 Å
α = 90.00°, β = 90.00°, γ = 90.00°
Space group P4/ncc (No. 130, origin choice 2)
Asymmetric unit:
Mn 0.250 0.250 0.095 x4
Si 0.042 0.044 0.345 x16
O 0.001 0.501 0.250 x8
O 0.003 0.249 0.863 x16
O 0.074 0.078 0.094 x16

D(E_F)   2.1 states/eV/f.u.
Size of the total moment   5.0 μB/f.u.
E   -7.592 eV per atom
Crystal system   tetragonal

Entry 8:
The following is a GGA+U calculation of crystalline Mn4Si4O13 at its relaxed geometry, from Alexandria.

a = 7.584 Å, b = 7.584 Å, c = 9.903 Å
α = 88.61°, β = 70.07°, γ = 89.21°
Space group P-1 (No. 2)
Asymmetric unit:
Mn 0.070 0.004 0.129 x2
Mn 0.078 0.497 0.131 x2
Mn 0.288 0.489 0.497 x2
Mn 0.294 0.982 0.493 x2
Si 0.072 0.249 0.338 x2
Si 0.325 0.747 0.223 x2
Si 0.392 0.554 0.811 x2
Si 0.397 0.957 0.811 x2
O 0.028 0.553 0.654 x2
O 0.056 0.932 0.645 x2
O 0.143 0.745 0.168 x2
O 0.167 0.251 0.159 x2
O 0.179 0.500 0.916 x2
O 0.186 0.017 0.906 x2
O 0.208 0.236 0.435 x2
O 0.270 0.746 0.398 x2
O 0.425 0.532 0.641 x2
O 0.433 0.753 0.848 x2
O 0.438 0.929 0.156 x2
O 0.438 0.989 0.637 x2
O 0.446 0.570 0.155 x2

D(E_F)   2.4 states/eV/f.u.
Size of the total moment   18.0 μB/f.u.
E   -7.791 eV per atom
Crystal system   triclinic

The lowest size of the total moment belongs to which entry?
MnSi2O

Please write out number 6 again, unchanged.
The following is a GGA+U calculation of crystalline Mn4SiO7 at its relaxed geometry, from Alexandria.

a = 8.1484 Å, b = 8.1484 Å, c = 4.9597 Å
α = 90.00°, β = 90.00°, γ = 120.00°
Space group P6_3 (No. 173)
Asymmetric unit:
Mn 0.0000 0.0000 0.0000 x2
Mn 0.1134 0.7040 0.0075 x6
Si 0.3333 0.6667 0.5728 x2
O 0.0523 0.2054 0.2495 x6
O 0.1302 0.5067 0.7116 x6
O 0.3333 0.6667 0.2410 x2

Size of the total moment   18.0 μB/f.u.
E   -7.739 eV per atom
Crystal system   hexagonal

Repeat the first record exactly.
The following is a GGA+U calculation of crystalline MnSiO2 at its relaxed geometry, from Alexandria.

a = 2.7578 Å, b = 2.7578 Å, c = 22.3022 Å
α = 90.00°, β = 90.00°, γ = 120.00°
Space group R-3m (No. 166, hexagonal axes)
Asymmetric unit:
Mn 0.0000 0.0000 0.0000 x3
Si 0.0000 0.0000 0.5000 x3
O 0.0000 0.0000 0.1263 x6

D(E_F)   1.1 states/eV/f.u.
Size of the total moment   4.8 μB/f.u.
E   -7.073 eV per atom
Crystal system   trigonal